Here is crystalline CaHgIr at its relaxed geometry from Alexandria. Energies are from PBE.

Calculated values
Raw total energy: -11.47 eV/cell
Total moment: 0.00 μB per cell
Symmetry: P-6m2 (187)
Formation energy from the elements: -0.31 eV per formula unit

Cell: 4.7042 4.7042 3.4408 Å, 90.00 90.00 120.00°
Sites, in units of the cell vectors:
Hg1 0.6667 0.3333 0.4998
Ca1 0.0000 0.0000 0.0000
Ir1 0.3333 0.6667 0.5002

Here is crystalline UCo3C at its relaxed geometry from Alexandria. Energies are from PBE.

Calculated values
Raw total energy: -167.81 eV/cell
Total moment: 0.00 μB per cell
Symmetry: P2_1/c (14)
Formation energy from the elements: -0.12 eV per formula unit

Cell: 5.0173 6.2102 7.7546 Å, 98.86 90.00 90.00°
Sites, in units of the cell vectors:
C1 0.0185 0.9367 0.6753
U1 0.9304 0.6455 0.3846
Co1 0.7660 0.4724 0.0129
Co2 0.4104 0.6091 0.3929
Co3 0.2660 0.0276 0.4871
Co4 0.8460 0.7086 0.7797
Co5 0.0896 0.1091 0.8929
C2 0.5185 0.5633 0.8247
Co6 0.5896 0.3909 0.6071
C3 0.4815 0.4367 0.1753
Co7 0.7340 0.9724 0.5129
Co8 0.6540 0.2086 0.2797
Co9 0.2340 0.5276 0.9871
Co10 0.1540 0.2914 0.2203
U2 0.5696 0.1455 0.8846
U3 0.4304 0.8545 0.1154
C4 0.9815 0.0633 0.3247
U4 0.0696 0.3545 0.6154
Co11 0.9104 0.8909 0.1071
Co12 0.3460 0.7914 0.7203

Here is crystalline Zr2TcRu at its relaxed geometry from Alexandria. Energies are from PBE.

Calculated values
Raw total energy: -71.89 eV/cell
Total moment: 0.00 μB per cell
Symmetry: I-42d (122)
Formation energy from the elements: 0.79 eV per formula unit

Cell: 7.2040 7.2040 5.8646 Å, 52.11 52.11 90.00°
Sites, in units of the cell vectors:
Zr1 0.3750 0.3693 0.7500
Zr2 0.8750 0.8807 0.7500
Zr3 0.1193 0.6250 0.2500
Zr4 0.6307 0.1250 0.2500
Tc1 0.5000 0.5000 0.0000
Ru1 0.0000 0.0000 0.0000
Tc2 0.2500 0.7500 0.5000
Ru2 0.7500 0.2500 0.5000

Here is crystalline Co2IrC at its relaxed geometry from Alexandria. Energies are from PBE.

Calculated values
Raw total energy: -61.11 eV/cell
Total moment: 2.04 μB per cell
Symmetry: I-42d (122)
Formation energy from the elements: 1.74 eV per formula unit

Cell: 6.1606 6.1606 4.9081 Å, 51.13 51.13 90.00°
Last column: magnetic moment on the atom in μB.
Sites, in units of the cell vectors:
Ir1 0.7500 0.2500 0.5000  0.20
Ir2 0.0000 0.0000 0.0000  0.21
C1 0.5000 0.5000 0.0000  -0.03
Co1 0.5294 0.1250 0.2500  0.43
C2 0.2500 0.7500 0.5000  -0.03
Co2 0.2206 0.6250 0.2500  0.39
Co3 0.3750 0.4706 0.7500  0.45
Co4 0.8750 0.7794 0.7500  0.41

Here is crystalline CaCd2Pb5 at its relaxed geometry from Alexandria. Energies are from PBE.

Calculated values
Raw total energy: -23.15 eV/cell
Total moment: 0.00 μB per cell
Symmetry: I4/mmm (139)
Formation energy from the elements: -0.78 eV per formula unit

Cell: 6.7215 6.7214 6.7203 Å, 108.40 108.40 111.64°
Sites, in units of the cell vectors:
Cd1 0.2776 0.7779 0.5000
Pb1 0.2779 0.2782 0.5003
Pb2 0.2782 0.7776 0.0000
Cd2 0.7777 0.2780 0.5001
Pb3 0.7779 0.2779 0.0000
Pb4 0.2778 0.2775 0.0000
Pb5 0.7776 0.7779 0.4997
Ca1 0.7783 0.7781 0.0000

Here is crystalline ScTe3Rh at its relaxed geometry from Alexandria. Energies are from PBE.

Calculated values
Raw total energy: -23.08 eV/cell
Total moment: 0.00 μB per cell
Formation energy (no corrections): 5 meV per atom
Symmetry: Pm-3m (221)

Cell: 5.2036 5.2036 5.2036 Å, 90.00 90.00 90.00°
Sites, in units of the cell vectors:
Te1 0.0000 0.0000 0.5000
Sc1 0.5000 0.5000 0.5000
Te2 0.0000 0.5000 0.0000
Te3 0.5000 0.0000 0.0000
Rh1 0.0000 0.0000 0.0000